Entry 1:
# PBE TaInCoRu, relaxed
# VASP energy = -7.898 eV/atom
# Calculated density = 12167 kg/m³
# Calculated volume = 15.6 Å³/atom
# DFT formation energy = -155 meV/atom
data_TaInCoRu
_chemical_formula_sum 'Ta4 In4 Co4 Ru4'
_symmetry_space_group_name_H-M 'F -4 3 m'
_symmetry_Int_Tables_number 216
_symmetry_space_group_name_Hall 'F -4 2 3'
_cell_length_a 6.290
_cell_length_b 6.290
_cell_length_c 6.290
_cell_angle_alpha 90.00
_cell_angle_beta 90.00
_cell_angle_gamma 90.00
loop_
_atom_site_label
_atom_site_fract_x
_atom_site_fract_y
_atom_site_fract_z
Ta1 0.000 0.000 0.000
In1 0.000 0.000 0.500
Co1 0.250 0.250 0.250
Ru1 0.250 0.250 0.750

=====

Entry 2:
# PBE ZnTcPb2, relaxed
# VASP energy = -4.278 eV/atom
# Calculated density = 10806 kg/m³
# Calculated volume = 22.2 Å³/atom
# DFT formation energy = 486 meV/atom
data_ZnTcPb2
_chemical_formula_sum 'Zn3 Tc3 Pb6'
_symmetry_space_group_name_H-M 'R -3 m'
_symmetry_Int_Tables_number 166
_symmetry_space_group_name_Hall '-R 3 2"'
_cell_length_a 3.4111
_cell_length_b 3.4111
_cell_length_c 26.4329
_cell_angle_alpha 90.00
_cell_angle_beta 90.00
_cell_angle_gamma 120.00
loop_
_atom_site_label
_atom_site_fract_x
_atom_site_fract_y
_atom_site_fract_z
Zn1 0.0000 0.0000 0.0000
Tc1 0.0000 0.0000 0.5000
Pb1 0.0000 0.0000 0.2439

=====

Entry 3:
# PBE YSb2Au, relaxed
# VASP energy = -4.673 eV/atom
# Uncorrected formation energy = -0.18 eV/atom
# Calculated density = 8636 kg/m³
# Calculated volume = 25.4 Å³/atom
data_YSb2Au
_chemical_formula_sum 'Y3 Sb6 Au3'
_symmetry_space_group_name_H-M 'R -3 m'
_symmetry_Int_Tables_number 166
_symmetry_space_group_name_Hall '-R 3 2"'
_cell_length_a 3.5274
_cell_length_b 3.5274
_cell_length_c 28.3381
_cell_angle_alpha 90.00
_cell_angle_beta 90.00
_cell_angle_gamma 120.00
loop_
_atom_site_label
_atom_site_fract_x
_atom_site_fract_y
_atom_site_fract_z
Y1 0.0000 0.0000 0.0000
Sb1 0.0000 0.0000 0.2420
Au1 0.0000 0.0000 0.5000

=====

Entry 4:
# PBE InMo2Cl, relaxed
# ΔE to the lowest computed polymorph = 664 meV per atom
# VASP energy = -5.777 eV/atom
# Uncorrected formation energy = 0.79 eV/atom
# Calculated density = 7974 kg/m³
# Calculated volume = 17.8 Å³/atom
data_InMo2Cl
_chemical_formula_sum 'In2 Mo4 Cl2'
_symmetry_space_group_name_H-M 'I -4 m 2'
_symmetry_Int_Tables_number 119
_symmetry_space_group_name_Hall 'I -4 -2'
_cell_length_a 4.281
_cell_length_b 4.281
_cell_length_c 7.776
_cell_angle_alpha 90.00
_cell_angle_beta 90.00
_cell_angle_gamma 90.00
loop_
_atom_site_label
_atom_site_fract_x
_atom_site_fract_y
_atom_site_fract_z
In1 0.000 0.000 0.000
Mo1 0.000 0.000 0.500
Mo2 0.000 0.500 0.750
Cl1 0.000 0.500 0.250